# BeTlAsO2, optimized geometry, DFT PBE
# Formation energy without anion corrections   -0.1910 eV/atom
# DOS(E_F)   0.58 states/eV/cell
# Spin magnetization   0.0 μB per cell
data_BeTlAsO2
_cell_length_a 4.076
_cell_length_b 4.076
_cell_length_c 4.334
_cell_angle_alpha 90.00
_cell_angle_beta 90.00
_cell_angle_gamma 90.00
_symmetry_space_group_name_H-M 'P 4/m m m'
_symmetry_Int_Tables_number 123
_symmetry_space_group_name_Hall '-P 4 2'
loop_
_atom_site_label
_atom_site_fract_x
_atom_site_fract_y
_atom_site_fract_z
_atom_site_occupancy
Be1 0.000 0.000 0.000 1
Tl1 0.500 0.500 0.000 1
As1 0.000 0.000 0.500 1
O1 0.000 0.500 0.500 1